# 1
# CeTm2Pu

An optimized crystal structure of CeTm2Pu (PBE, Alexandria via LeMat-Bulk).

Results
Crystal system: cubic
Distance to the lowest polymorph of the same formula, meV per atom: 122
Uncorrected energy, eV per atom: -7.059
Energy relative to the elements, eV/atom: 0.243

Unit cell a=5.5213 b=5.5213 c=5.5213 alpha=60.00 beta=60.00 gamma=60.00
Atoms (fractional coordinates):
Ce  0.0000  0.0000  0.0000
Tm  0.2500  0.2500  0.2500
Tm  0.7500  0.7500  0.7500
Pu  0.5000  0.5000  0.5000

=====

# 2
# Ce2TmPu

An optimized crystal structure of Ce2TmPu (PBE, Alexandria via LeMat-Bulk).

Results
Crystal system: cubic
Distance to the lowest polymorph of the same formula, meV per atom: 82
Uncorrected energy, eV per atom: -7.481
Energy relative to the elements, eV/atom: 0.187

Unit cell a=5.4485 b=5.4485 c=5.4485 alpha=60.00 beta=60.00 gamma=60.00
Atoms (fractional coordinates):
Ce  0.2500  0.2500  0.2500
Ce  0.7500  0.7500  0.7500
Tm  0.0000  0.0000  0.0000
Pu  0.5000  0.5000  0.5000

=====

# 3
# CeTm2Pu

An optimized crystal structure of CeTm2Pu (PBE, Alexandria via LeMat-Bulk).

Results
Crystal system: trigonal
Distance to the lowest polymorph of the same formula, meV per atom: 2
Uncorrected energy, eV per atom: -7.179
Energy relative to the elements, eV/atom: 0.123

Unit cell a=11.5380 b=11.5380 c=11.5380 alpha=17.20 beta=17.20 gamma=17.20
Atoms (fractional coordinates):
Ce  0.0000  0.0000  0.0000
Tm  0.5816  0.5816  0.5816
Tm  0.7510  0.7510  0.7510
Pu  0.1659  0.1659  0.1659

=====

# 4
# CeTmPu

An optimized crystal structure of CeTmPu (PBE, Alexandria via LeMat-Bulk).

Results
Crystal system: trigonal
Distance to the lowest polymorph of the same formula, meV per atom: 35
Uncorrected energy, eV per atom: -8.103
Energy relative to the elements, eV/atom: 0.143

Unit cell a=16.7155 b=16.7155 c=16.7155 alpha=11.73 beta=11.73 gamma=11.73
Atoms (fractional coordinates):
Ce  0.1948  0.1948  0.1948
Ce  0.8052  0.8052  0.8052
Tm  0.3620  0.3620  0.3620
Tm  0.6380  0.6380  0.6380
Pu  0.0849  0.0849  0.0849
Pu  0.9151  0.9151  0.9151

=====

# 5
# Ce2TmPu

An optimized crystal structure of Ce2TmPu (PBE, Alexandria via LeMat-Bulk).

Results
Crystal system: trigonal
Distance to the lowest polymorph of the same formula, meV per atom: 364
Uncorrected energy, eV per atom: -7.199
Energy relative to the elements, eV/atom: 0.469

Unit cell a=9.9826 b=9.9826 c=9.9826 alpha=20.56 beta=20.56 gamma=20.56
Atoms (fractional coordinates):
Ce  0.1128  0.1128  0.1128
Ce  0.8872  0.8872  0.8872
Tm  0.0000  0.0000  0.0000
Pu  0.5000  0.5000  0.5000

=====

# 6
# CeTm2Pu

An optimized crystal structure of CeTm2Pu (PBE, Alexandria via LeMat-Bulk).

Results
Crystal system: tetragonal
Distance to the lowest polymorph of the same formula, meV per atom: 0
Uncorrected energy, eV per atom: -7.181
Energy relative to the elements, eV/atom: 0.121

Unit cell a=4.7555 b=4.7555 c=5.0989 alpha=90.00 beta=90.00 gamma=90.00
Atoms (fractional coordinates):
Ce  0.0000  0.0000  0.0000
Tm  0.0000  0.5000  0.5000
Tm  0.5000  0.0000  0.5000
Pu  0.5000  0.5000  0.0000

=====

# 7
# CeTm2Pu

An optimized crystal structure of CeTm2Pu (PBE, Alexandria via LeMat-Bulk).

Results
Crystal system: tetragonal
Distance to the lowest polymorph of the same formula, meV per atom: 5
Uncorrected energy, eV per atom: -7.177
Energy relative to the elements, eV/atom: 0.126

Unit cell a=3.4357 b=3.4357 c=9.9706 alpha=90.00 beta=90.00 gamma=90.00
Atoms (fractional coordinates):
Ce  0.0000  0.0000  0.0000
Tm  0.5000  0.5000  0.2540
Tm  0.5000  0.5000  0.7460
Pu  0.0000  0.0000  0.5000

=====

# 8
# Ce2TmPu

An optimized crystal structure of Ce2TmPu (PBE, Alexandria via LeMat-Bulk).

Results
Crystal system: trigonal
Distance to the lowest polymorph of the same formula, meV per atom: 261
Uncorrected energy, eV per atom: -7.302
Energy relative to the elements, eV/atom: 0.366

Unit cell a=9.4704 b=9.4704 c=9.4704 alpha=22.12 beta=22.12 gamma=22.12
Atoms (fractional coordinates):
Ce  0.0000  0.0000  0.0000
Ce  0.1116  0.1116  0.1116
Tm  0.5614  0.5614  0.5614
Pu  0.7220  0.7220  0.7220

=====

# 9
# Ce3TmPu

An optimized crystal structure of Ce3TmPu (PBE, Alexandria via LeMat-Bulk).

Results
Crystal system: orthorhombic
Uncorrected energy, eV per atom: -7.233
Energy relative to the elements, eV/atom: 0.088

Unit cell a=7.0266 b=7.0266 c=6.3167 alpha=90.00 beta=90.00 gamma=120.19
Atoms (fractional coordinates):
Ce  0.0675  0.9325  0.5000
Ce  0.0960  0.4408  0.7045
Ce  0.4408  0.0960  0.2045
Ce  0.5592  0.9040  0.7045
Ce  0.9040  0.5592  0.2045
Ce  0.9325  0.0675  0.0000
Tm  0.4104  0.5896  0.2210
Tm  0.5896  0.4104  0.7210
Pu  0.1453  0.8547  0.9154
Pu  0.8547  0.1453  0.4154

=====

# 10
# CeTmPu

An optimized crystal structure of CeTmPu (PBE, Alexandria via LeMat-Bulk).

Results
Crystal system: hexagonal
Distance to the lowest polymorph of the same formula, meV per atom: 80
Uncorrected energy, eV per atom: -8.058
Energy relative to the elements, eV/atom: 0.188

Unit cell a=5.4856 b=5.4856 c=3.2560 alpha=90.00 beta=90.00 gamma=120.00
Atoms (fractional coordinates):
Ce  0.0000  0.0000  0.0000
Tm  0.3333  0.6667  0.5000
Pu  0.6667  0.3333  0.5000

=====

# 11
# CeTm14Pu

An optimized crystal structure of CeTm14Pu (PBE, Alexandria via LeMat-Bulk).

Results
Crystal system: tetragonal
Uncorrected energy, eV per atom: -5.126
Energy relative to the elements, eV/atom: 0.054

Unit cell a=6.9674 b=6.9674 c=9.8222 alpha=90.00 beta=90.00 gamma=90.00
Atoms (fractional coordinates):
Ce  0.0000  0.0000  0.0000
Tm  0.0000  0.0000  0.5000
Tm  0.0000  0.5000  0.0000
Tm  0.0000  0.5000  0.5000
Tm  0.2509  0.2509  0.2482
Tm  0.2509  0.2509  0.7518
Tm  0.2509  0.7491  0.2482
Tm  0.2509  0.7491  0.7518
Tm  0.5000  0.0000  0.0000
Tm  0.5000  0.0000  0.5000
Tm  0.5000  0.5000  0.5000
Tm  0.7491  0.2509  0.2482
Tm  0.7491  0.2509  0.7518
Tm  0.7491  0.7491  0.2482
Tm  0.7491  0.7491  0.7518
Pu  0.5000  0.5000  0.0000

=====

# 12
# CeTmPu

An optimized crystal structure of CeTmPu (PBE, Alexandria via LeMat-Bulk).

Results
Crystal system: tetragonal
Distance to the lowest polymorph of the same formula, meV per atom: 0
Uncorrected energy, eV per atom: -8.137
Energy relative to the elements, eV/atom: 0.108

Unit cell a=7.4598 b=7.4598 c=7.4598 alpha=153.37 beta=153.37 gamma=38.01
Atoms (fractional coordinates):
Ce  0.0000  0.0000  0.0000
Tm  0.3219  0.3219  0.0000
Pu  0.6485  0.6485  0.0000

=====

# 13
# CeYTmPu

An optimized crystal structure of CeYTmPu (PBE, Alexandria via LeMat-Bulk).

Results
Crystal system: cubic
Uncorrected energy, eV per atom: -7.617
Energy relative to the elements, eV/atom: 0.184

Unit cell a=5.5253 b=5.5253 c=5.5253 alpha=60.00 beta=60.00 gamma=60.00
Atoms (fractional coordinates):
Ce  0.0000  0.0000  0.0000
Y  0.5000  0.5000  0.5000
Tm  0.2500  0.2500  0.2500
Pu  0.7500  0.7500  0.7500

=====

# 14
# CeTmPuZn

An optimized crystal structure of CeTmPuZn (PBE, Alexandria via LeMat-Bulk).

Results
Crystal system: cubic
Uncorrected energy, eV per atom: -6.459
Energy relative to the elements, eV/atom: 0.044

Unit cell a=5.1732 b=5.1732 c=5.1732 alpha=60.00 beta=60.00 gamma=60.00
Atoms (fractional coordinates):
Ce  0.0000  0.0000  0.0000
Tm  0.5000  0.5000  0.5000
Pu  0.2500  0.2500  0.2500
Zn  0.7500  0.7500  0.7500

=====

# 15
# CeTmPuZr

An optimized crystal structure of CeTmPuZr (PBE, Alexandria via LeMat-Bulk).

Results
Crystal system: cubic
Uncorrected energy, eV per atom: -8.056
Energy relative to the elements, eV/atom: 0.266

Unit cell a=5.3452 b=5.3452 c=5.3452 alpha=60.00 beta=60.00 gamma=60.00
Atoms (fractional coordinates):
Ce  0.0000  0.0000  0.0000
Tm  0.2500  0.2500  0.2500
Pu  0.5000  0.5000  0.5000
Zr  0.7500  0.7500  0.7500

=====

# 16
# CePuU

An optimized crystal structure of CePuU (PBE, Alexandria via LeMat-Bulk).

Results
Crystal system: tetragonal
Distance to the lowest polymorph of the same formula, meV per atom: 0
Uncorrected energy, eV per atom: -10.307
Energy relative to the elements, eV/atom: 0.211

Unit cell a=6.7609 b=6.7609 c=6.7609 alpha=151.39 beta=151.39 gamma=40.91
Atoms (fractional coordinates):
Ce  0.0000  0.0000  0.0000
Pu  0.3069  0.3069  0.0000
U  0.6779  0.6779  0.0000

=====

# 17
# CePuU

An optimized crystal structure of CePuU (PBE, Alexandria via LeMat-Bulk).

Results
Crystal system: monoclinic
Distance to the lowest polymorph of the same formula, meV per atom: 98
Uncorrected energy, eV per atom: -10.209
Energy relative to the elements, eV/atom: 0.309

Unit cell a=6.7027 b=6.7027 c=7.0960 alpha=121.93 beta=121.93 gamma=30.14
Atoms (fractional coordinates):
Ce  0.1263  0.1263  0.4664
Ce  0.8737  0.8737  0.5336
Pu  0.3451  0.3451  0.2264
Pu  0.6549  0.6549  0.7736
U  0.1176  0.1176  0.9822
U  0.8824  0.8824  0.0178

=====

# 18
# CePuU

An optimized crystal structure of CePuU (PBE, Alexandria via LeMat-Bulk).

Results
Crystal system: hexagonal
Distance to the lowest polymorph of the same formula, meV per atom: 57
Uncorrected energy, eV per atom: -10.250
Energy relative to the elements, eV/atom: 0.268

Unit cell a=5.1582 b=5.1582 c=3.0161 alpha=90.00 beta=90.00 gamma=120.00
Atoms (fractional coordinates):
Ce  0.0000  0.0000  0.0000
Pu  0.6667  0.3333  0.5000
U  0.3333  0.6667  0.5000

=====

# 19
# CePuV4

An optimized crystal structure of CePuV4 (PBE, Alexandria via LeMat-Bulk).

Results
Crystal system: cubic
Uncorrected energy, eV per atom: -9.204
Energy relative to the elements, eV/atom: 0.253

Unit cell a=5.2618 b=5.2618 c=5.2618 alpha=60.00 beta=60.00 gamma=60.00
Atoms (fractional coordinates):
Ce  0.0000  0.0000  0.0000
Pu  0.2500  0.2500  0.2500
V  0.1257  0.6248  0.6248
V  0.6248  0.1257  0.6248
V  0.6248  0.6248  0.1257
V  0.6248  0.6248  0.6248

=====

# 20
# Ce2PuV

An optimized crystal structure of Ce2PuV (PBE, Alexandria via LeMat-Bulk).

Results
Crystal system: trigonal
Uncorrected energy, eV per atom: -7.953
Energy relative to the elements, eV/atom: 0.877

Unit cell a=8.7516 b=8.7516 c=8.7516 alpha=23.02 beta=23.02 gamma=23.02
Atoms (fractional coordinates):
Ce  0.1038  0.1038  0.1038
Ce  0.8962  0.8962  0.8962
Pu  0.5000  0.5000  0.5000
V  0.0000  0.0000  0.0000

=====

# 21
# CePuV

An optimized crystal structure of CePuV (PBE, Alexandria via LeMat-Bulk).

Results
Crystal system: tetragonal
Uncorrected energy, eV per atom: -9.542
Energy relative to the elements, eV/atom: 0.253

Unit cell a=5.8998 b=5.8998 c=5.8998 alpha=146.25 beta=146.25 gamma=48.47
Atoms (fractional coordinates):
Ce  0.0000  0.0000  0.0000
Pu  0.3261  0.3261  0.0000
V  0.6737  0.6737  0.0000

=====

# 22
# CeYPu4

An optimized crystal structure of CeYPu4 (PBE, Alexandria via LeMat-Bulk).

Results
Crystal system: cubic
Uncorrected energy, eV per atom: -11.376
Energy relative to the elements, eV/atom: 0.245

Unit cell a=6.1542 b=6.1542 c=6.1542 alpha=60.00 beta=60.00 gamma=60.00
Atoms (fractional coordinates):
Ce  0.0000  0.0000  0.0000
Y  0.7500  0.7500  0.7500
Pu  0.3743  0.3743  0.3743
Pu  0.3743  0.3743  0.8771
Pu  0.3743  0.8771  0.3743
Pu  0.8771  0.3743  0.3743

=====

# 23
# Ce4YPu

An optimized crystal structure of Ce4YPu (PBE, Alexandria via LeMat-Bulk).

Results
Crystal system: cubic
Uncorrected energy, eV per atom: -7.162
Energy relative to the elements, eV/atom: 0.260

Unit cell a=6.1868 b=6.1868 c=6.1868 alpha=60.00 beta=60.00 gamma=60.00
Atoms (fractional coordinates):
Ce  0.1236  0.1236  0.1236
Ce  0.1236  0.1236  0.6293
Ce  0.1236  0.6293  0.1236
Ce  0.6293  0.1236  0.1236
Y  0.7500  0.7500  0.7500
Pu  0.5000  0.5000  0.5000

=====

# 24
# CeY14Pu

An optimized crystal structure of CeY14Pu (PBE, Alexandria via LeMat-Bulk).

Results
Crystal system: orthorhombic
Uncorrected energy, eV per atom: -6.886
Energy relative to the elements, eV/atom: 0.037

Unit cell a=11.3848 b=7.2717 c=7.2717 alpha=59.56 beta=90.00 gamma=90.00
Atoms (fractional coordinates):
Ce  0.0000  0.0000  0.0000
Y  0.0000  0.0001  0.4977
Y  0.0000  0.4977  0.0001
Y  0.2480  0.1662  0.6646
Y  0.2484  0.6629  0.6629
Y  0.2480  0.6646  0.1662
Y  0.2513  0.1640  0.1640
Y  0.5000  0.4984  0.4984
Y  0.5000  0.4989  0.9984
Y  0.5000  0.9984  0.4989
Y  0.5000  0.9985  0.9985
Y  0.7487  0.1640  0.1640
Y  0.7520  0.1662  0.6646
Y  0.7516  0.6629  0.6629
Y  0.7520  0.6646  0.1662
Pu  0.0000  0.4990  0.4990

=====

# 25
# CePu2Zn

An optimized crystal structure of CePu2Zn (PBE, Alexandria via LeMat-Bulk).

Results
Crystal system: trigonal
Distance to the lowest polymorph of the same formula, meV per atom: 752
Uncorrected energy, eV per atom: -8.200
Energy relative to the elements, eV/atom: 0.768

Unit cell a=9.2316 b=9.2316 c=9.2316 alpha=24.88 beta=24.88 gamma=24.88
Atoms (fractional coordinates):
Ce  0.0000  0.0000  0.0000
Pu  0.3873  0.3873  0.3873
Pu  0.6127  0.6127  0.6127
Zn  0.5000  0.5000  0.5000

=====

# 26
# Ce2PuZn8

An optimized crystal structure of Ce2PuZn8 (PBE, Alexandria via LeMat-Bulk).

Results
Crystal system: monoclinic
Uncorrected energy, eV per atom: -3.476
Energy relative to the elements, eV/atom: -0.167

Unit cell a=8.2904 b=8.2904 c=4.9039 alpha=107.18 beta=107.18 gamma=123.62
Atoms (fractional coordinates):
Ce  0.1911  0.8089  0.0000
Ce  0.8089  0.1911  0.0000
Pu  0.5000  0.5000  0.5000
Zn  0.0012  0.0012  0.7477
Zn  0.1587  0.3990  0.7783
Zn  0.2990  0.7010  0.5000
Zn  0.3990  0.1587  0.7783
Zn  0.6010  0.8413  0.2217
Zn  0.7010  0.2990  0.5000
Zn  0.8413  0.6010  0.2217
Zn  0.9988  0.9988  0.2523

=====

# 27
# Ce6PuZn

An optimized crystal structure of Ce6PuZn (PBE, Alexandria via LeMat-Bulk).

Results
Crystal system: monoclinic
Uncorrected energy, eV per atom: -6.422
Energy relative to the elements, eV/atom: -0.021

Unit cell a=6.2006 b=6.2006 c=6.5690 alpha=98.70 beta=98.70 gamma=111.22
Atoms (fractional coordinates):
Ce  0.0084  0.3529  0.2413
Ce  0.2596  0.2596  0.8152
Ce  0.3529  0.0084  0.2413
Ce  0.6471  0.9916  0.7587
Ce  0.7404  0.7404  0.1848
Ce  0.9916  0.6471  0.7587
Pu  0.0000  0.0000  0.0000
Zn  0.5000  0.5000  0.5000

=====

# 28
# CePu2Zn6

An optimized crystal structure of CePu2Zn6 (PBE, Alexandria via LeMat-Bulk).

Results
Crystal system: trigonal
Uncorrected energy, eV per atom: -4.938
Energy relative to the elements, eV/atom: -0.245

Unit cell a=5.5944 b=5.5944 c=5.5944 alpha=94.43 beta=94.43 gamma=94.43
Atoms (fractional coordinates):
Ce  0.0000  0.0000  0.0000
Pu  0.3279  0.3279  0.3279
Pu  0.6721  0.6721  0.6721
Zn  0.1704  0.5000  0.8296
Zn  0.1704  0.8296  0.5000
Zn  0.5000  0.1704  0.8296
Zn  0.5000  0.8296  0.1704
Zn  0.8296  0.1704  0.5000
Zn  0.8296  0.5000  0.1704